The following is a DFT calculation (GGA-PBE) of a relaxed TePb2Se crystal.

Results
**Formation energy from raw total energies**: -0.20 eV per atom
**DOS at the Fermi energy**: 0.470 states/eV/atom
**SG**: Imm2 (44)

a = 6.718 Å, b = 6.718 Å, c = 6.718 Å
α = 146.13°, β = 131.36°, γ = 60.59°
Element x y z (fractional)
Pb1 0.716 0.216 0.500
Pb2 0.024 0.024 0.000
Te1 0.240 0.740 0.500
Se1 0.520 0.520 0.000